Record 1
A plane-wave DFT calculation with PBE was carried out for crystalline La2Pm2Cd3 at its relaxed geometry.

**Energy of formation from the pure elements**: -0.1768 eV per atom

abc: 5.3713 5.3818 9.2922
angles: 73.49 73.29 60.12
Space group P-1 (No. 2)
One atom of each set of equivalent atoms:
La: 0.1311 0.1305 0.1079 x2
Pm: 0.3810 0.3806 0.3578 x2
Cd: 0.0000 0.0000 0.5000 x1
Cd: 0.2568 0.2567 0.7291 x2



Record 2
A plane-wave DFT calculation with PBE was carried out for crystalline Rb3Sm2MgS6 at its relaxed geometry.

**Formation energy (no corrections)**: -1.499 eV/atom

abc: 7.0854 12.2782 8.0563
angles: 90.00 107.07 90.00
Space group C2/m (No. 12)
One atom of each set of equivalent atoms:
Rb: 0.0000 0.0000 0.0000 x2
Rb: 0.0000 0.3328 0.0000 x4
Sm: 0.0000 0.1665 0.5000 x4
Mg: 0.0000 0.5000 0.5000 x2
S: 0.2257 0.3382 0.6920 x8
S: 0.2405 0.0000 0.6924 x4



Record 3
A plane-wave DFT calculation with PBE was carried out for crystalline Rb3SnTe2 at its relaxed geometry.

**Formation energy (no corrections)**: -0.587 eV/atom

abc: 8.6581 16.7491 8.4826
angles: 90.00 90.00 90.00
Space group Ibam (No. 72)
One atom of each set of equivalent atoms:
Rb: 0.0000 0.0000 0.2500 x4
Rb: 0.0000 0.2661 0.2500 x8
Sn: 0.0000 0.5000 0.0000 x4
Te: 0.2335 0.1282 0.0000 x8



Record 4
A plane-wave DFT calculation with PBE was carried out for crystalline NdSmNi4 at its relaxed geometry.

**Energy of formation from the pure elements**: -0.3366 eV per atom

abc: 7.2881 7.2881 7.2881
angles: 90.00 90.00 90.00
Space group F-43m (No. 216)
One atom of each set of equivalent atoms:
Nd: 0.0000 0.0000 0.0000 x4
Sm: 0.2500 0.2500 0.2500 x4
Ni: 0.1248 0.1248 0.6248 x16



| no. | DOS at the Fermi energy (states/eV/cell) |
| --- | --- |
| 1 | 10.987 |
| 2 | 24.795 |
| 3 | 17.539 |
| 4 | 19.632 |